No. 1
A plane-wave DFT calculation with PBE was carried out for a relaxed YScO2 crystal.

Lattice parameters (Å, degrees): 3.552 3.552 18.288 90.00 90.00 120.00
Fractional coordinates of all 12 atoms:
Y: 0.000 0.000 0.000
Y: 0.333 0.667 0.667
Y: 0.667 0.333 0.333
Sc: 0.000 0.000 0.500
Sc: 0.333 0.667 0.167
Sc: 0.667 0.333 0.833
O: 0.000 0.000 0.390
O: 0.000 0.000 0.610
O: 0.333 0.667 0.057
O: 0.333 0.667 0.277
O: 0.667 0.333 0.723
O: 0.667 0.333 0.943

Properties
E in eV per atom: -8.5872
Space-group type: R-3m (166)
Uncorrected formation energy in meV per atom: -2909
Polymorph energy (0 for the lowest one) in meV/atom: 0



No. 2
A plane-wave DFT calculation with PBE was carried out for a relaxed YScO2 crystal.

Lattice parameters (Å, degrees): 5.752 5.752 5.752 90.00 90.00 90.00
Fractional coordinates of all 16 atoms:
Y: 0.000 0.000 0.000
Y: 0.000 0.500 0.500
Y: 0.500 0.000 0.500
Y: 0.500 0.500 0.000
Sc: 0.000 0.000 0.500
Sc: 0.000 0.500 0.000
Sc: 0.500 0.000 0.000
Sc: 0.500 0.500 0.500
O: 0.250 0.250 0.250
O: 0.250 0.250 0.750
O: 0.250 0.750 0.250
O: 0.250 0.750 0.750
O: 0.750 0.250 0.250
O: 0.750 0.250 0.750
O: 0.750 0.750 0.250
O: 0.750 0.750 0.750

Properties
E in eV per atom: -7.8939
Space-group type: Fm-3m (225)
Uncorrected formation energy in meV per atom: -2216
Polymorph energy (0 for the lowest one) in meV/atom: 693



No. 3
A plane-wave DFT calculation with PBE was carried out for a relaxed YSc2O4 crystal.

Lattice parameters (Å, degrees): 5.437 5.437 10.379 90.00 90.00 146.36
Fractional coordinates of all 14 atoms:
Y: 0.121 0.879 0.750
Y: 0.879 0.121 0.250
Sc: 0.372 0.628 0.569
Sc: 0.372 0.628 0.931
Sc: 0.628 0.372 0.069
Sc: 0.628 0.372 0.431
O: 0.000 0.000 0.000
O: 0.000 0.000 0.500
O: 0.273 0.727 0.115
O: 0.273 0.727 0.385
O: 0.461 0.539 0.750
O: 0.539 0.461 0.250
O: 0.727 0.273 0.615
O: 0.727 0.273 0.885

Properties
E in eV per atom: -8.9133
Space-group type: Cmcm (63)
Uncorrected formation energy in meV per atom: -3348
Polymorph energy (0 for the lowest one) in meV/atom: 0



No. 4
A plane-wave DFT calculation with PBE was carried out for a relaxed YScO crystal.

Lattice parameters (Å, degrees): 3.992 3.992 7.485 90.00 90.00 90.00
Fractional coordinates of all 6 atoms:
Y: 0.000 0.000 0.250
Y: 0.000 0.000 0.750
Sc: 0.500 0.500 0.000
Sc: 0.500 0.500 0.500
O: 0.000 0.500 0.000
O: 0.500 0.000 0.500

Properties
E in eV per atom: -7.6736
Space-group type: P4_2/mmc (131)
Uncorrected formation energy in meV per atom: -1756
Polymorph energy (0 for the lowest one) in meV/atom: 70



No. 5
A plane-wave DFT calculation with PBE was carried out for a relaxed YScO2 crystal.

Lattice parameters (Å, degrees): 5.107 5.107 10.234 90.00 90.00 90.00
Fractional coordinates of all 16 atoms:
Y: 0.000 0.000 0.000
Y: 0.000 0.500 0.250
Y: 0.500 0.000 0.750
Y: 0.500 0.500 0.500
Sc: 0.000 0.000 0.500
Sc: 0.000 0.500 0.750
Sc: 0.500 0.000 0.250
Sc: 0.500 0.500 0.000
O: 0.222 0.250 0.625
O: 0.250 0.722 0.875
O: 0.250 0.778 0.375
O: 0.278 0.250 0.125
O: 0.722 0.750 0.125
O: 0.750 0.222 0.375
O: 0.750 0.278 0.875
O: 0.778 0.750 0.625

Properties
E in eV per atom: -8.3637
Space-group type: I-42d (122)
Uncorrected formation energy in meV per atom: -2686
Polymorph energy (0 for the lowest one) in meV/atom: 223



No. 6
A plane-wave DFT calculation with PBE was carried out for a relaxed YScO crystal.

Lattice parameters (Å, degrees): 3.605 6.157 6.442 71.85 89.99 89.44
Fractional coordinates of all 6 atoms:
Y: 0.247 0.250 0.011
Y: 0.753 0.750 0.989
Sc: 0.254 0.779 0.517
Sc: 0.746 0.221 0.483
O: 0.248 0.136 0.369
O: 0.752 0.864 0.631

Properties
E in eV per atom: -7.7230
Space-group type: P-1 (2)
Uncorrected formation energy in meV per atom: -1805
Polymorph energy (0 for the lowest one) in meV/atom: 20